1.
The following is a DFT calculation (PBEsol) of crystalline HgTeI2O at its relaxed geometry.

Geometry as POSCAR:
```
HgTeI2O
1.0
-1.707 3.539 4.029
0.408 -4.224 3.882
5.465 1.470 1.024
O Hg I Te
1 1 2 1
direct
0.500 0.500 0.500
0.000 0.000 0.000
0.000 0.000 0.500
0.000 0.500 0.000
0.500 0.000 0.000
```

Output
The calculation puts the relative energy among the computed polymorphs at 0.565 eV per atom. For the spin magnetization, the calculation gives 0.63 μB/atom. As for the space group: P4/mmm (123). The density of states at the Fermi level comes out at 8.3 states/eV/f.u.

***

2.
The following is a DFT calculation (PBEsol) of crystalline HgTeI2O at its relaxed geometry.

Geometry as POSCAR:
```
HgTeI2O
1.0
-2.744 2.089 2.023
2.309 -1.887 5.081
3.610 4.656 0.089
Te I Hg O
1 2 1 1
direct
0.500 0.500 0.500
0.000 0.000 0.500
0.000 0.500 0.000
0.000 0.000 0.000
0.500 0.000 0.000
```

Output
The calculation puts the relative energy among the computed polymorphs at 0.000 eV per atom. For the spin magnetization, the calculation gives 0.04 μB/atom. As for the space group: P4/mmm (123). The density of states at the Fermi level comes out at 5.4 states/eV/f.u.

***

Quick rundown of DFT total energy, same order as above: -0.0612, -0.0820 Ha/atom